No. 1
Compound: Te2IrSe
Source: Alexandria
Functional: PBE
Structure: relaxed

Results
Formation energy (no corrections) = 70.5 kJ/mol of atoms
V = 21.38 Å³/atom
DFT total energy = -62.83 eV for the cell shown

abc: 6.9940 6.9940 6.9940
angles: 90.00 90.00 90.00
With the nearest neighbours (Å) after each atom.
Space group F-43m (No. 216)
Symmetry-distinct sites (fractional):
Te  0.0000  0.0000  0.0000 x4  4 Te 3.03, 4 Se 3.03
Te  0.2500  0.2500  0.2500 x4  4 Te 3.03, 4 Ir 3.03
Ir  0.0000  0.0000  0.5000 x4  4 Se 3.03, 4 Te 3.03
Se  0.2500  0.2500  0.7500 x4  4 Te 3.03, 4 Ir 3.03

=====

No. 2
Compound: Sr2InBr
Source: Alexandria
Functional: PBE
Structure: relaxed

Results
Formation energy (no corrections) = -82.3 kJ/mol of atoms
V = 36.09 Å³/atom
Energy above the most stable polymorph in this dataset = 119 meV/atom
DFT total energy = -22.37 eV for the cell shown

abc: 5.5112 4.0209 13.0291
angles: 90.00 90.00 90.00
With the nearest neighbours (Å) after each atom.
Space group Amm2 (No. 38)
Symmetry-distinct sites (fractional):
Sr  0.0000  0.0000  0.0000 x2  1 Br 3.12, 4 In 3.42
Sr  0.5000  0.0000  0.2557 x2  4 Br 3.41, 3 In 3.47-3.64
In  0.5000  0.0000  0.5224 x2  7 Sr 3.42-3.64
Br  0.0000  0.0000  0.7607 x2  5 Sr 3.12-3.41

=====

No. 3
Compound: LiGdInCo
Source: Alexandria
Functional: PBE
Structure: relaxed

Results
V = 18.35 Å³/atom
Formation energy from the elements = -177 meV per atom
DFT total energy = -106.20 eV for the cell shown

abc: 6.6466 6.6466 6.6466
angles: 90.00 90.00 90.00
With the nearest neighbours (Å) after each atom.
Space group F-43m (No. 216)
Symmetry-distinct sites (fractional):
Li  0.0000  0.0000  0.0000 x4  4 In 2.88, 4 Gd 2.88
Gd  0.2500  0.2500  0.7500 x4  4 Li 2.88, 4 Co 2.88
In  0.2500  0.2500  0.2500 x4  4 Co 2.88, 4 Li 2.88
Co  0.0000  0.0000  0.5000 x4  4 Gd 2.88, 4 In 2.88

=====

No. 4
Compound: CoSbP2
Source: Alexandria
Functional: PBE
Structure: relaxed

Results
Formation energy (no corrections) = 5.1 kJ/mol of atoms
V = 17.23 Å³/atom
DFT total energy = -65.51 eV for the cell shown

abc: 3.3945 3.3945 20.7185
angles: 90.00 90.00 120.00
With the nearest neighbours (Å) after each atom.
Space group R-3m (No. 166, hexagonal axes)
Symmetry-distinct sites (fractional):
Co  0.0000  0.0000  0.0000 x3  6 P 2.25
Sb  0.0000  0.0000  0.5000 x3  6 P 3.07, 6 Sb 3.39
P  0.0000  0.0000  0.2805 x6  3 Co 2.25

=====

Question: Which value of V does entry 1 give?
Answer: 21.38 Å³/atom

=====

Question: Among the records above, which one has the highest DFT total energy?
Answer: Sr2InBr

=====

Question: DFT total energy of number 4 (CoSbP2)?
Answer: -65.51 eV for the cell shown